1.
Computed, not measured: a relaxed Ac3PrInRu crystal at the PBE level of DFT.

Structure (CIF):
```
data_Ac3PrInRu
_chemical_formula_sum 'Ac12 Pr4 In4 Ru4'
_symmetry_space_group_name_H-M 'C 1 2/m 1'
_symmetry_Int_Tables_number 12
_symmetry_space_group_name_Hall '-C 2y'
_cell_length_a 17.2257
_cell_length_b 7.8161
_cell_length_c 6.4668
_cell_angle_alpha 90.00
_cell_angle_beta 111.12
_cell_angle_gamma 90.00
loop_
_atom_site_label
_atom_site_fract_x
_atom_site_fract_y
_atom_site_fract_z
_atom_site_occupancy
Ac1 0.1176 0.2484 0.1117 1
Ac2 0.1760 0.0000 0.6669 1
Pr1 0.0000 0.2989 0.5000 1
In1 0.1922 0.5000 0.6924 1
Ru1 0.0003 0.0000 0.2441 1
```

Summary:
- DFT formation energy (eV/atom) = -0.26
- DOS at the Fermi energy (states/eV per cell) = 21.28

2.
Computed, not measured: a relaxed KBeOs2 crystal at the PBE level of DFT.

Structure (CIF):
```
data_KBeOs2
_chemical_formula_sum 'K3 Be3 Os6'
_symmetry_space_group_name_H-M 'R -3 m'
_symmetry_Int_Tables_number 166
_symmetry_space_group_name_Hall '-R 3 2"'
_cell_length_a 2.7364
_cell_length_b 2.7364
_cell_length_c 28.5701
_cell_angle_alpha 90.00
_cell_angle_beta 90.00
_cell_angle_gamma 120.00
loop_
_atom_site_label
_atom_site_fract_x
_atom_site_fract_y
_atom_site_fract_z
_atom_site_occupancy
K1 0.0000 0.0000 0.0000 1
Be1 0.0000 0.0000 0.5000 1
Os1 0.0000 0.0000 0.2314 1
```

Summary:
- DFT formation energy (eV/atom) = 0.66
- DOS at the Fermi energy (states/eV per cell) = 11.36

3.
Computed, not measured: a relaxed Ho2LuRh crystal at the PBE level of DFT.

Structure (CIF):
```
data_Ho2LuRh
_chemical_formula_sum 'Ho6 Lu3 Rh3'
_symmetry_space_group_name_H-M 'R -3 m'
_symmetry_Int_Tables_number 166
_symmetry_space_group_name_Hall '-R 3 2"'
_cell_length_a 3.6881
_cell_length_b 3.6881
_cell_length_c 28.1562
_cell_angle_alpha 90.00
_cell_angle_beta 90.00
_cell_angle_gamma 120.00
loop_
_atom_site_label
_atom_site_fract_x
_atom_site_fract_y
_atom_site_fract_z
_atom_site_occupancy
Ho1 0.0000 0.0000 0.2280 1
Lu1 0.0000 0.0000 0.0000 1
Rh1 0.0000 0.0000 0.5000 1
```

Summary:
- DFT formation energy (eV/atom) = -0.30
- DOS at the Fermi energy (states/eV per cell) = 16.04
- ΔE to the lowest computed polymorph (meV/atom) = 100

4.
Computed, not measured: a relaxed K2NbTeW crystal at the PBE level of DFT.

Structure (CIF):
```
data_K2NbTeW
_chemical_formula_sum 'K2 Nb1 Te1 W1'
_symmetry_space_group_name_H-M 'P 4/m m m'
_symmetry_Int_Tables_number 123
_symmetry_space_group_name_Hall '-P 4 2'
_cell_length_a 6.8130
_cell_length_b 6.8130
_cell_length_c 5.2963
_cell_angle_alpha 90.00
_cell_angle_beta 90.00
_cell_angle_gamma 90.00
loop_
_atom_site_label
_atom_site_fract_x
_atom_site_fract_y
_atom_site_fract_z
_atom_site_occupancy
K1 0.0000 0.5000 0.0000 1
Nb1 0.0000 0.0000 0.0000 1
Te1 0.0000 0.0000 0.5000 1
W1 0.5000 0.5000 0.5000 1
```

Summary:
- DOS at the Fermi energy (states/eV per cell) = 1.62
- E (eV per atom) = -3.92

5.
Computed, not measured: a relaxed K2SmHoSe4 crystal at the PBE level of DFT.

Structure (CIF):
```
data_K2SmHoSe4
_chemical_formula_sum 'K2 Sm1 Ho1 Se4'
_symmetry_space_group_name_H-M 'P 1 2/m 1'
_symmetry_Int_Tables_number 10
_symmetry_space_group_name_Hall '-P 2y'
_cell_length_a 7.3580
_cell_length_b 4.2480
_cell_length_c 8.0709
_cell_angle_alpha 90.00
_cell_angle_beta 107.68
_cell_angle_gamma 90.00
loop_
_atom_site_label
_atom_site_fract_x
_atom_site_fract_y
_atom_site_fract_z
_atom_site_occupancy
K1 0.0000 0.0000 0.0000 1
K2 0.5000 0.5000 0.0000 1
Sm1 0.0000 0.5000 0.5000 1
Ho1 0.5000 0.0000 0.5000 1
Se1 0.2413 0.0000 0.7077 1
Se2 0.2704 0.5000 0.2947 1
```

Summary:
- DOS at the Fermi energy (states/eV per cell) = 0.00
- E (eV per atom) = -4.94

6.
Computed, not measured: a relaxed PmDy2Te crystal at the PBE level of DFT.

Structure (CIF):
```
data_PmDy2Te
_chemical_formula_sum 'Pm3 Dy6 Te3'
_symmetry_space_group_name_H-M 'R -3 m'
_symmetry_Int_Tables_number 166
_symmetry_space_group_name_Hall '-R 3 2"'
_cell_length_a 3.8373
_cell_length_b 3.8373
_cell_length_c 32.3269
_cell_angle_alpha 90.00
_cell_angle_beta 90.00
_cell_angle_gamma 120.00
loop_
_atom_site_label
_atom_site_fract_x
_atom_site_fract_y
_atom_site_fract_z
_atom_site_occupancy
Pm1 0.0000 0.0000 0.0000 1
Dy1 0.0000 0.0000 0.1032 1
Te1 0.0000 0.0000 0.5000 1
```

Summary:
- DOS at the Fermi energy (states/eV per cell) = 15.75
- ΔE to the lowest computed polymorph (meV/atom) = 422

7.
Computed, not measured: a relaxed GeSbSI2 crystal at the PBE level of DFT.

Structure (CIF):
```
data_GeSbSI2
_chemical_formula_sum 'Ge1 Sb1 S1 I2'
_symmetry_space_group_name_H-M 'P 4/m m m'
_symmetry_Int_Tables_number 123
_symmetry_space_group_name_Hall '-P 4 2'
_cell_length_a 5.4468
_cell_length_b 5.4468
_cell_length_c 5.7339
_cell_angle_alpha 90.00
_cell_angle_beta 90.00
_cell_angle_gamma 90.00
loop_
_atom_site_label
_atom_site_fract_x
_atom_site_fract_y
_atom_site_fract_z
_atom_site_occupancy
Ge1 0.0000 0.0000 0.0000 1
Sb1 0.0000 0.0000 0.5000 1
S1 0.5000 0.5000 0.5000 1
I1 0.0000 0.5000 0.0000 1
```

Summary:
- DOS at the Fermi energy (states/eV per cell) = 7.59
- ΔE to the lowest computed polymorph (meV/atom) = 55

8.
Computed, not measured: a relaxed CrTcAg2 crystal at the PBE level of DFT.

Structure (CIF):
```
data_CrTcAg2
_chemical_formula_sum 'Cr4 Tc4 Ag8'
_symmetry_space_group_name_H-M 'I -4 2 d'
_symmetry_Int_Tables_number 122
_symmetry_space_group_name_Hall 'I -4 2bw'
_cell_length_a 5.7157
_cell_length_b 5.7157
_cell_length_c 11.2647
_cell_angle_alpha 90.00
_cell_angle_beta 90.00
_cell_angle_gamma 90.00
loop_
_atom_site_label
_atom_site_fract_x
_atom_site_fract_y
_atom_site_fract_z
_atom_site_occupancy
Cr1 0.0000 0.0000 0.0000 1
Tc1 0.0000 0.0000 0.5000 1
Ag1 0.2363 0.2500 0.1250 1
```

Summary:
- DFT formation energy (eV/atom) = 2.37
- DOS at the Fermi energy (states/eV per cell) = 12.48
- ΔE to the lowest computed polymorph (meV/atom) = 2045